A plane-wave DFT calculation with PBE+U was carried out for a relaxed NaCrI2F crystal.

Structure (CIF):
```
data_NaCrI2F
_space_group_name_H-M_alt 'P 4/m m m'
_space_group_IT_number 123
_space_group_name_Hall '-P 4 2'
_cell_length_a 5.905
_cell_length_b 5.905
_cell_length_c 4.030
_cell_angle_alpha 90.00
_cell_angle_beta 90.00
_cell_angle_gamma 90.00
loop_
_atom_site_label
_atom_site_fract_x
_atom_site_fract_y
_atom_site_fract_z
Na1 0.000 0.000 0.000
Cr1 0.500 0.500 0.500
I1 0.000 0.500 0.500
F1 0.500 0.500 0.000
```

Uncorrected energy, eV per atom: -4.09
Total magnetization, μB/cell: 4.0